Entry 1:
5
Lattice="5.0139 0.0000 0.0000 0.0000 5.0139 0.0000 0.0000 0.0000 5.0139" Properties=species:S:1:pos:R:3 comment="SrHfPd3, relaxed, DFT GGA-PBE" e_form_ev_per_atom=-0.1498 e_above_lowest_polymorph_mev_per_atom=0 dos_ef_per_ev_atom=0.619 total_energy_ev_per_atom=-5.59 pbc="T T T"
Sr 0.0000 0.0000 0.0000
Hf 2.5069 2.5069 2.5069
Pd 0.0000 2.5069 2.5069
Pd 2.5069 0.0000 2.5069
Pd 2.5069 2.5069 0.0000

***

Entry 2:
8
Lattice="-2.7070 2.7070 9.1477 2.7070 -2.7070 9.1477 2.7070 2.7070 -9.1477" Properties=species:S:1:pos:R:3 comment="SrHf2Pd, relaxed, DFT GGA-PBE" e_form_ev_per_atom=0.6404 e_above_lowest_polymorph_mev_per_atom=200 dos_ef_per_ev_atom=1.118 total_energy_ev_per_atom=-6.05 pbc="T T T"
Sr 0.0000 0.0000 0.0000
Sr 0.0000 2.7070 4.5739
Hf 1.3535 -0.0710 6.8608
Hf 2.6360 1.3535 2.2869
Hf 1.3535 2.7781 -2.2869
Hf 0.0710 1.3535 11.4346
Pd 2.7070 0.0000 4.5739
Pd 0.0000 0.0000 9.1477

***

Entry 3:
4
Lattice="0.0000 3.5172 3.5172 3.5172 0.0000 3.5172 3.5172 3.5172 0.0000" Properties=species:S:1:pos:R:3 comment="SrHf2Pd, relaxed, DFT GGA-PBE" e_form_ev_per_atom=0.4405 e_above_lowest_polymorph_mev_per_atom=0 dos_ef_per_ev_atom=1.287 total_energy_ev_per_atom=-6.25 pbc="T T T"
Sr 0.0000 0.0000 0.0000
Hf 1.7586 1.7586 1.7586
Hf 5.2757 5.2757 5.2757
Pd 3.5172 3.5172 3.5172

***

The evaluated magnetization for the records listed, in turn: 0.00, 0.00, 0.00 μB per cell.